## CaZrMo2 (GGA-PBE)

Data for a relaxed CaZrMo2 crystal.

Geometry as CIF:
```
data_CaZrMo2
_cell_length_a 10.4624
_cell_length_b 10.4624
_cell_length_c 10.4624
_cell_angle_alpha 16.44
_cell_angle_beta 16.44
_cell_angle_gamma 16.44
_symmetry_space_group_name_H-M 'P 1'
_symmetry_Int_Tables_number 1
loop_
_symmetry_equiv_pos_as_xyz
'x,y,z'
loop_
_atom_site_label
_atom_site_fract_x
_atom_site_fract_y
_atom_site_fract_z
Mo1 0.9976 0.9976 0.9976
Mo2 0.5024 0.5024 0.5024
Ca1 0.7500 0.7500 0.7500
Zr1 0.2500 0.2500 0.2500
```

Output
ΔE_f = 0.75 eV per atom
Excess energy over the best structure of this formula in the dataset = 468.2 meV per atom
Spin magnetization = 0.000 μB/atom